No. 1
VASP calculation (PBEsol) on an optimized crystal structure of LaY2.

Cell lengths 3.442, 5.664, 5.664 Å; angles 120.00, 90.00, 90.00 degrees
Sites, in units of the cell vectors:
Y: 0.000 0.333 0.667
Y: 0.000 0.667 0.333
La: 0.500 0.000 0.000

Values from the calculation:
ΔE to the lowest computed polymorph in meV/atom: 43.2
Formation energy in eV/f.u.: 0.200
Electronic total energy in eV per atom: -6.263
SG: No. 191

***

No. 2
VASP calculation (PBEsol) on an optimized crystal structure of LaY2.

Cell lengths 3.509, 9.712, 9.712 Å; angles 120.00, 90.00, 90.00 degrees
Sites, in units of the cell vectors:
La: 0.500 0.000 0.000
La: 0.000 0.667 0.333
La: 0.000 0.333 0.667
Y: 0.000 0.000 0.312
Y: 0.500 0.000 0.649
Y: 0.000 0.688 0.688
Y: 0.000 0.312 0.000
Y: 0.500 0.351 0.351
Y: 0.500 0.649 0.000

Values from the calculation:
ΔE to the lowest computed polymorph in meV/atom: 32.9
Formation energy in eV/f.u.: 0.169
Electronic total energy in eV per atom: -6.274
SG: No. 189

***

No. 3
VASP calculation (PBEsol) on an optimized crystal structure of LaY3.

Cell lengths 3.566, 6.087, 6.087 Å; angles 108.92, 90.00, 90.00 degrees
Sites, in units of the cell vectors:
Y: 0.500 0.000 0.500
Y: 0.500 0.500 0.000
Y: 0.000 0.500 0.500
La: 0.000 0.000 0.000

Values from the calculation:
Formation energy in eV/f.u.: 0.046
Electronic total energy in eV per atom: -6.442
SG: No. 65

***

No. 4
VASP calculation (PBEsol) on an optimized crystal structure of LaY2.

Cell lengths 3.571, 3.571, 7.933 Å; angles 103.01, 103.01, 90.00 degrees
Sites, in units of the cell vectors:
Y: 0.332 0.332 0.663
Y: 0.668 0.668 0.337
La: 0.000 0.000 0.000

Values from the calculation:
ΔE to the lowest computed polymorph in meV/atom: 5.7
Formation energy in eV/f.u.: 0.088
Electronic total energy in eV per atom: -6.301
SG: No. 139

***

No. 5
VASP calculation (PBEsol) on an optimized crystal structure of LaY2.

Cell lengths 5.608, 5.608, 7.059 Å; angles 90.00, 90.00, 120.00 degrees
Sites, in units of the cell vectors:
Y: 0.000 0.000 0.000
Y: 0.000 0.000 0.500
Y: 0.667 0.333 0.250
Y: 0.333 0.667 0.750
La: 0.667 0.333 0.750
La: 0.333 0.667 0.250

Values from the calculation:
ΔE to the lowest computed polymorph in meV/atom: 50.7
Formation energy in eV/f.u.: 0.223
Electronic total energy in eV per atom: -6.256
SG: No. 194

***

No. 6
VASP calculation (PBEsol) on an optimized crystal structure of LaY3.

Cell lengths 5.675, 6.230, 7.226 Å; angles 90.00, 90.00, 90.00 degrees
Sites, in units of the cell vectors:
Y: 0.500 0.334 0.000
Y: 0.000 0.666 0.500
Y: 0.000 0.166 0.750
Y: 0.000 0.166 0.250
Y: 0.500 0.834 0.250
Y: 0.500 0.834 0.750
La: 0.000 0.672 0.000
La: 0.500 0.328 0.500

Values from the calculation:
Formation energy in eV/f.u.: 0.104
Electronic total energy in eV per atom: -6.427
SG: No. 59

***

> Number 5 is which compound?

LaY2

***

> Which of these has the lowest formation energy?

number 3

***

> Look up the electronic total energy of the first one.

-6.263 eV per atom